Entry from Alexandria via LeMat-Bulk: a relaxed structure of Pu2ZnAu (PBE).

Values from the calculation:
crystal system = orthorhombic
DOS(E_F) = 14.2 states/eV/f.u.
energy of formation = -0.213 eV/atom
space group = Cmmm, No. 65
electronic total energy = -34.1 eV for the cell shown

Lattice parameters (Å, degrees): 3.7663 5.0152 5.0152 105.52 90.00 90.00
Last column: magnetic moment on the atom in μB.
Element x y z (fractional)
Pu 0.0000 0.0000 0.0000  5.50
Pu 0.0000 0.5000 0.5000  5.50
Zn 0.5000 0.5000 0.0000  0.02
Au 0.5000 0.0000 0.5000  0.03

=====

Entry from Alexandria via LeMat-Bulk: a relaxed structure of Pu2Zn7Au12 (PBE).

Values from the calculation:
crystal system = trigonal
DOS(E_F) = 32.4 states/eV/f.u.
energy of formation = -0.227 eV/atom
space group = P-3, No. 147
electronic total energy = -81.7 eV for the cell shown

Lattice parameters (Å, degrees): 4.1305 10.5978 10.5978 120.00 90.00 90.00
Last column: magnetic moment on the atom in μB.
Element x y z (fractional)
Pu 0.2436 0.3333 0.6667  -5.37
Pu 0.7564 0.6667 0.3333  -5.37
Zn 0.5000 0.0000 0.0000  0.00
Zn 0.2675 0.8933 0.2952  0.00
Zn 0.2675 0.4019 0.1067  0.00
Zn 0.2675 0.7048 0.5981  0.00
Zn 0.7325 0.1067 0.7048  0.00
Zn 0.7325 0.5981 0.8933  0.00
Zn 0.7325 0.2952 0.4019  0.00
Au 0.2430 0.6278 0.0786  0.00
Au 0.2430 0.4508 0.3722  0.00
Au 0.2430 0.9214 0.5492  0.00
Au 0.7570 0.3722 0.9214  0.00
Au 0.7570 0.5492 0.6278  0.00
Au 0.7570 0.0786 0.4508  0.00
Au 0.2295 0.1258 0.2594  0.00
Au 0.2295 0.1336 0.8742  0.00
Au 0.2295 0.7406 0.8664  0.00
Au 0.7705 0.8742 0.7406  0.00
Au 0.7705 0.8664 0.1258  0.00
Au 0.7705 0.2594 0.1336  0.00

=====

Entry from Alexandria via LeMat-Bulk: a relaxed structure of Pu2Zn3Au4 (PBE).

Values from the calculation:
crystal system = orthorhombic
DOS(E_F) = 24.5 states/eV/f.u.
energy of formation = -0.347 eV/atom
space group = Cmce, No. 64
electronic total energy = -97.4 eV for the cell shown

Lattice parameters (Å, degrees): 5.8939 7.8870 8.3520 90.00 110.66 90.00
Last column: magnetic moment on the atom in μB.
Element x y z (fractional)
Pu 0.1107 0.5922 0.2214  5.41
Pu 0.8893 0.4078 0.7786  5.41
Pu 0.3893 0.0922 0.7786  5.41
Pu 0.6107 0.9078 0.2214  5.41
Zn 0.0000 0.0000 0.0000  0.00
Zn 0.5000 0.5000 0.0000  0.00
Zn 0.5250 0.7500 0.5499  0.01
Zn 0.9750 0.2500 0.4501  0.01
Zn 0.4750 0.2500 0.4501  0.01
Zn 0.0250 0.7500 0.5499  0.01
Au 0.6966 0.7500 0.8932  0.03
Au 0.8034 0.2500 0.1068  0.03
Au 0.3034 0.2500 0.1068  0.03
Au 0.1966 0.7500 0.8932  0.03
Au 0.1826 0.9717 0.3653  0.02
Au 0.8174 0.0283 0.6347  0.02
Au 0.3174 0.4717 0.6347  0.02
Au 0.6826 0.5283 0.3653  0.02

=====

Entry from Alexandria via LeMat-Bulk: a relaxed structure of PuZnAu (PBE).

Values from the calculation:
crystal system = hexagonal
DOS(E_F) = 8.8 states/eV/f.u.
energy of formation = -0.378 eV/atom
space group = P-6m2, No. 187
electronic total energy = -20.0 eV for the cell shown

Lattice parameters (Å, degrees): 3.1241 4.7570 4.7570 120.00 90.00 90.00
Last column: magnetic moment on the atom in μB.
Element x y z (fractional)
Zn 0.1669 0.6667 0.3333  -0.01
Au 0.1666 0.0000 0.0000  0.00
Pu 0.6666 0.3333 0.6667  5.32

=====

Entry from Alexandria via LeMat-Bulk: a relaxed structure of Pu2Zn3Au (PBE).

Values from the calculation:
crystal system = hexagonal
DOS(E_F) = 14.2 states/eV/f.u.
energy of formation = -0.270 eV/atom
space group = P6_3/mmc, No. 194
electronic total energy = -74.8 eV for the cell shown

Lattice parameters (Å, degrees): 5.5135 5.5135 8.9430 90.00 90.00 120.00
Last column: magnetic moment on the atom in μB.
Element x y z (fractional)
Pu 0.6667 0.3333 0.4430  5.45
Pu 0.3333 0.6667 0.5570  5.45
Pu 0.3333 0.6667 0.9430  5.45
Pu 0.6667 0.3333 0.0570  5.45
Zn 0.1688 0.3376 0.2500  0.00
Zn 0.3376 0.1688 0.7500  0.00
Zn 0.8312 0.6624 0.7500  0.00
Zn 0.1688 0.8312 0.2500  0.00
Zn 0.8312 0.1688 0.7500  0.00
Zn 0.6624 0.8312 0.2500  0.00
Au 0.0000 0.0000 0.5000  0.03
Au 0.0000 0.0000 0.0000  0.03

=====

Entry from Alexandria via LeMat-Bulk: a relaxed structure of Pu2ZnAu (PBE).

Values from the calculation:
crystal system = trigonal
DOS(E_F) = 10.9 states/eV/f.u.
energy of formation = 0.196 eV/atom
space group = R-3m, No. 166
electronic total energy = -32.4 eV for the cell shown

Lattice parameters (Å, degrees): 2.9345 2.9345 11.4258 82.62 82.62 60.00
Last column: magnetic moment on the atom in μB.
Element x y z (fractional)
Zn 0.5000 0.5000 0.5000  -0.03
Au 0.0000 0.0000 0.0000  0.03
Pu 0.0894 0.0894 0.7319  4.84
Pu 0.9106 0.9106 0.2681  4.84

=====

Entry from Alexandria via LeMat-Bulk: a relaxed structure of Pu3Zn4Au4 (PBE).

Values from the calculation:
crystal system = monoclinic
DOS(E_F) = 41.3 states/eV/f.u.
energy of formation = -0.356 eV/atom
space group = C2/m, No. 12
electronic total energy = -65.1 eV for the cell shown

Lattice parameters (Å, degrees): 4.3471 7.3520 8.3926 115.98 105.07 90.00
Last column: magnetic moment on the atom in μB.
Element x y z (fractional)
Pu 0.1249 0.1248 0.2495  5.40
Pu 0.8751 0.8752 0.7505  5.40
Pu 0.0000 0.5000 0.0000  5.43
Zn 0.3266 0.1356 0.6534  0.00
Zn 0.6734 0.4822 0.3466  0.00
Zn 0.6734 0.8644 0.3466  0.00
Zn 0.3266 0.5178 0.6534  0.00
Au 0.2185 0.7183 0.4367  0.01
Au 0.7815 0.2817 0.5633  0.01
Au 0.5000 0.8020 0.0000  0.02
Au 0.5000 0.1980 0.0000  0.02

=====

Entry from Alexandria via LeMat-Bulk: a relaxed structure of PuZn4Au6 (PBE).

Values from the calculation:
crystal system = tetragonal
DOS(E_F) = 19.8 states/eV/f.u.
energy of formation = -0.112 eV/atom
space group = I-42m, No. 121
electronic total energy = -40.3 eV for the cell shown

Lattice parameters (Å, degrees): 6.7777 6.7777 6.7777 91.96 118.87 118.87
Last column: magnetic moment on the atom in μB.
Element x y z (fractional)
Pu 0.0000 0.0000 0.0000  5.40
Zn 0.0000 0.2408 0.5956  0.00
Zn 0.6452 0.4044 0.4044  0.00
Zn 0.0000 0.5956 0.2408  0.00
Zn 0.3548 0.7592 0.7592  0.00
Au 0.0000 0.8690 0.5375  0.00
Au 0.0000 0.5375 0.8690  0.00
Au 0.6685 0.1310 0.1310  0.00
Au 0.5000 0.0000 0.5000  0.00
Au 0.3315 0.4625 0.4625  0.00
Au 0.5000 0.5000 0.0000  0.00

=====

Entry from Alexandria via LeMat-Bulk: a relaxed structure of Pu2Zn15Au2 (PBE).

Values from the calculation:
crystal system = trigonal
DOS(E_F) = 22.9 states/eV/f.u.
energy of formation = -0.184 eV/atom
space group = R-3m, No. 166
electronic total energy = -57.8 eV for the cell shown

Lattice parameters (Å, degrees): 6.8683 6.8683 6.8683 82.69 82.69 82.69
Last column: magnetic moment on the atom in μB.
Element x y z (fractional)
Pu 0.3430 0.3430 0.3430  5.31
Pu 0.6570 0.6570 0.6570  5.31
Zn 0.5000 0.0000 0.0000  -0.01
Zn 0.0000 0.0000 0.5000  -0.01
Zn 0.0000 0.5000 0.0000  -0.01
Zn 0.0000 0.7048 0.2952  0.00
Zn 0.7048 0.2952 0.0000  0.00
Zn 0.2952 0.0000 0.7048  0.00
Zn 0.2952 0.7048 0.0000  0.00
Zn 0.7048 0.0000 0.2952  0.00
Zn 0.0000 0.2952 0.7048  0.00
Zn 0.1601 0.6473 0.6473  0.00
Zn 0.6473 0.6473 0.1601  0.00
Zn 0.6473 0.1601 0.6473  0.00
Zn 0.8399 0.3527 0.3527  0.00
Zn 0.3527 0.3527 0.8399  0.00
Zn 0.3527 0.8399 0.3527  0.00
Au 0.1107 0.1107 0.1107  0.01
Au 0.8893 0.8893 0.8893  0.01

=====

Entry from Alexandria via LeMat-Bulk: a relaxed structure of PuZnAu (PBE).

Values from the calculation:
crystal system = orthorhombic
DOS(E_F) = 7.7 states/eV/f.u.
energy of formation = -0.394 eV/atom
space group = Immm, No. 71
electronic total energy = -40.1 eV for the cell shown

Lattice parameters (Å, degrees): 4.7853 5.6970 5.6952 62.74 65.16 65.17
Last column: magnetic moment on the atom in μB.
Element x y z (fractional)
Pu 0.5001 0.2466 0.7531  5.38
Pu 0.4999 0.7534 0.2469  5.38
Zn 0.1624 0.3378 0.3375  -0.01
Zn 0.8376 0.6622 0.6625  -0.01
Au 0.8255 0.1748 0.1743  0.02
Au 0.1745 0.8252 0.8257  0.02